Below is crystalline As2RuCl at its relaxed geometry, with properties calculated at the GGA-PBE level.

Calculated values
Total magnetic moment ... 0.00 μB/cell
Space-group type ... R-3m, No. 166
Energy relative to the lowest polymorph listed for this composition ... 0.53 eV/f.u.
Calculated total energy ... -20.585 eV/cell

a b c (Å): 8.054 8.054 8.054
angles (deg): 23.54 23.54 23.54
Sites, in units of the cell vectors:
As1 0.239 0.239 0.239
As2 0.761 0.761 0.761
Ru1 0.500 0.500 0.500
Cl1 0.000 0.000 0.000